1.
Ba2TlHgPd6 | GGA-PBE | optimized geometry

Geometry as CIF:
```
data_Ba2TlHgPd6
_chemical_formula_sum 'Ba8 Tl4 Hg4 Pd24'
_space_group_name_H-M_alt 'F m -3 m'
_space_group_IT_number 225
_space_group_name_Hall '-F 4 2 3'
_cell_length_a 10.342
_cell_length_b 10.342
_cell_length_c 10.342
_cell_angle_alpha 90.00
_cell_angle_beta 90.00
_cell_angle_gamma 90.00
loop_
_atom_site_label
_atom_site_fract_x
_atom_site_fract_y
_atom_site_fract_z
Ba1 0.250 0.250 0.250
Tl1 0.000 0.000 0.000
Hg1 0.000 0.000 0.500
Pd1 0.000 0.000 0.249
```

Output
The value obtained for the formation energy from the elements is 1.41 kJ per mole of atoms.

---

2.
Tb12TmTh3 | GGA-PBE | optimized geometry

Geometry as CIF:
```
data_Tb12TmTh3
_chemical_formula_sum 'Tb12 Tm1 Th3'
_space_group_name_H-M_alt 'P 4/m m m'
_space_group_IT_number 123
_space_group_name_Hall '-P 4 2'
_cell_length_a 5.039
_cell_length_b 5.039
_cell_length_c 20.053
_cell_angle_alpha 90.00
_cell_angle_beta 90.00
_cell_angle_gamma 90.00
loop_
_atom_site_label
_atom_site_fract_x
_atom_site_fract_y
_atom_site_fract_z
Tb1 0.000 0.000 0.000
Tb2 0.000 0.000 0.249
Tb3 0.000 0.000 0.500
Tb4 0.000 0.500 0.125
Tb5 0.000 0.500 0.375
Tm1 0.500 0.500 0.000
Th1 0.500 0.500 0.250
Th2 0.500 0.500 0.500
```

Output
The value obtained for the formation energy from the elements is 3.44 kJ per mole of atoms.

---

3.
Dy2BCl | GGA-PBE | optimized geometry

Geometry as CIF:
```
data_Dy2BCl
_chemical_formula_sum 'Dy6 B3 Cl3'
_space_group_name_H-M_alt 'R -3 m'
_space_group_IT_number 166
_space_group_name_Hall '-R 3 2"'
_cell_length_a 3.8354
_cell_length_b 3.8354
_cell_length_c 20.2190
_cell_angle_alpha 90.00
_cell_angle_beta 90.00
_cell_angle_gamma 120.00
loop_
_atom_site_label
_atom_site_fract_x
_atom_site_fract_y
_atom_site_fract_z
Dy1 0.0000 0.0000 0.2326
B1 0.0000 0.0000 0.5000
Cl1 0.0000 0.0000 0.0000
```

Output
Its raw formation energy is -912 meV/atom.

---

4.
CePuThAg | GGA-PBE | optimized geometry

Geometry as CIF:
```
data_CePuThAg
_chemical_formula_sum 'Ce4 Pu4 Th4 Ag4'
_space_group_name_H-M_alt 'F -4 3 m'
_space_group_IT_number 216
_space_group_name_Hall 'F -4 2 3'
_cell_length_a 7.457
_cell_length_b 7.457
_cell_length_c 7.457
_cell_angle_alpha 90.00
_cell_angle_beta 90.00
_cell_angle_gamma 90.00
loop_
_atom_site_label
_atom_site_fract_x
_atom_site_fract_y
_atom_site_fract_z
Ce1 0.000 0.000 0.000
Pu1 0.250 0.250 0.750
Th1 0.000 0.000 0.500
Ag1 0.250 0.250 0.250
```

Output
The value obtained for the formation energy from the elements is 7.11 kJ per mole of atoms.